(1)
{"formula": "Cd2FeW", "functional": "GGA-PBE", "state": "relaxed", "cell": [[-1.9628, 1.9628, 4.4237], [1.9628, -1.9628, 4.4237], [1.9628, 1.9628, -4.4237]], "species": ["Cd", "Cd", "Fe", "W"], "frac_coords": [[0.2500, 0.7500, 0.5000], [0.7500, 0.2500, 0.5000], [0.0000, 0.0000, 0.0000], [0.5000, 0.5000, 0.0000]], "total_energy_ev_per_atom": -5.08, "relative_energy_mev_per_atom": 449, "rho_g_cm3": 11.3, "delta_e_f_ev_per_atom": 0.73, "spacegroup": "I4/mmm, No. 139", "magnetic_moment_mub_per_atom": 0.69}



(2)
{"formula": "Cd2FeW", "functional": "GGA-PBE", "state": "relaxed", "cell": [[1.4598, 0.8428, 9.5868], [-1.4598, 0.8428, 9.5868], [0.0000, -1.6856, 9.5868]], "species": ["Cd", "Cd", "Fe", "W"], "frac_coords": [[0.0000, 0.0000, 0.0000], [0.2337, 0.2337, 0.2337], [0.7481, 0.7481, 0.7481], [0.4774, 0.4774, 0.4774]], "total_energy_ev_per_atom": -5.44, "relative_energy_mev_per_atom": 91, "rho_g_cm3": 10.9, "delta_e_f_ev_per_atom": 0.37, "spacegroup": "R3m, No. 160", "magnetic_moment_mub_per_atom": 0.43}



(3)
{"formula": "Cd3FeW", "functional": "GGA-PBE", "state": "relaxed", "cell": [[5.2556, 0.0000, 0.0000], [0.0000, 5.2556, 0.0000], [0.0000, 0.0000, 5.2556]], "species": ["Cd", "Cd", "Cd", "Fe", "W"], "frac_coords": [[0.0000, 0.0000, 0.5000], [0.0000, 0.5000, 0.0000], [0.5000, 0.0000, 0.0000], [0.5000, 0.5000, 0.5000], [0.0000, 0.0000, 0.0000]], "total_energy_ev_per_atom": -3.06, "relative_energy_mev_per_atom": 253, "rho_g_cm3": 6.6, "delta_e_f_ev_per_atom": 1.77, "spacegroup": "Pm-3m, No. 221", "magnetic_moment_mub_per_atom": 0.80}



(4)
{"formula": "Cd2FeW", "functional": "GGA-PBE", "state": "relaxed", "cell": [[2.9409, 0.0000, 0.0000], [0.0000, 2.9433, 0.0000], [-0.0119, 0.0000, 7.8814]], "species": ["Cd", "Cd", "Fe", "W"], "frac_coords": [[0.0000, 0.0000, 0.0000], [0.4980, 0.5000, 0.3054], [0.4992, 0.5000, 0.7535], [0.9992, 0.0000, 0.5865]], "total_energy_ev_per_atom": -5.53, "relative_energy_mev_per_atom": 0, "rho_g_cm3": 11.3, "delta_e_f_ev_per_atom": 0.28, "spacegroup": "Pm, No. 6", "magnetic_moment_mub_per_atom": 0.02}



(5)
{"formula": "Cd2FeW", "functional": "GGA-PBE", "state": "relaxed", "cell": [[2.7378, 0.0000, 0.0000], [0.0000, 4.6601, 0.0000], [-1.2072, 0.0000, 5.3322]], "species": ["Cd", "Cd", "Fe", "W"], "frac_coords": [[0.1845, 0.0000, 0.2570], [0.8155, 0.0000, 0.7430], [0.0000, 0.5000, 0.5000], [0.5000, 0.5000, 0.0000]], "total_energy_ev_per_atom": -5.20, "relative_energy_mev_per_atom": 329, "rho_g_cm3": 11.3, "delta_e_f_ev_per_atom": 0.61, "spacegroup": "P2/m, No. 10", "magnetic_moment_mub_per_atom": 0.63}



(6)
{"formula": "Cd2FeW", "functional": "GGA-PBE", "state": "relaxed", "cell": [[-1.5110, 2.4345, 4.7492], [1.5110, -2.4345, 4.7492], [1.5110, 2.4345, -4.7492]], "species": ["Cd", "Cd", "Fe", "W"], "frac_coords": [[0.0000, 0.0000, 0.0000], [0.7213, 0.2213, 0.5000], [0.2539, 0.7539, 0.5000], [0.4437, 0.4437, 0.0000]], "total_energy_ev_per_atom": -5.22, "relative_energy_mev_per_atom": 306, "rho_g_cm3": 11.0, "delta_e_f_ev_per_atom": 0.59, "spacegroup": "Imm2, No. 44", "magnetic_moment_mub_per_atom": 0.37}



What did the third record say?
{"formula": "Cd3FeW", "functional": "GGA-PBE", "state": "relaxed", "cell": [[5.2556, 0.0000, 0.0000], [0.0000, 5.2556, 0.0000], [0.0000, 0.0000, 5.2556]], "species": ["Cd", "Cd", "Cd", "Fe", "W"], "frac_coords": [[0.0000, 0.0000, 0.5000], [0.0000, 0.5000, 0.0000], [0.5000, 0.0000, 0.0000], [0.5000, 0.5000, 0.5000], [0.0000, 0.0000, 0.0000]], "total_energy_ev_per_atom": -3.06, "relative_energy_mev_per_atom": 253, "rho_g_cm3": 6.6, "delta_e_f_ev_per_atom": 1.77, "spacegroup": "Pm-3m, No. 221", "magnetic_moment_mub_per_atom": 0.80}